No. 1
First-principles (PBE) data for a relaxed Tb2TiSe crystal, as listed in the Alexandria database.

The structure in POSCAR format:
```
Tb2TiSe
1.0
1.8018 1.0403 9.7145
-1.8018 1.0403 9.7145
0.0000 -2.0806 9.7145
Tb Ti Se
2 1 1
Direct
0.1015 0.1015 0.1015
0.8985 0.8985 0.8985
0.0000 0.0000 0.0000
0.5000 0.5000 0.5000
```

- crystal system = trigonal
- theoretical density (g/cm³) = 6.8
- size of the total moment (μB/cell) = 1.7
- calculated volume (Å³/cell) = 109
- E_form (uncorrected) (eV per atom) = -0.2441

No. 2
First-principles (PBE) data for a relaxed MnAg2Pt2 crystal, as listed in the Alexandria database.

The structure in POSCAR format:
```
MnAg2Pt2
1.0
7.7025 0.0000 0.0000
0.0000 7.7025 0.0000
0.0000 0.0000 2.9838
Mn Ag Pt
2 4 4
Direct
0.0000 0.0000 0.0000
0.5000 0.5000 0.0000
0.1274 0.3726 0.0000
0.3726 0.8726 0.0000
0.6274 0.1274 0.0000
0.8726 0.6274 0.0000
0.1715 0.6715 0.5000
0.3285 0.1715 0.5000
0.6715 0.8285 0.5000
0.8285 0.3285 0.5000
```

- energy above the lowest structure with this stoichiometry (eV per formula unit) = 1.03
- crystal system = tetragonal
- theoretical density (g/cm³) = 12.4
- size of the total moment (μB/cell) = 9.3
- calculated volume (Å³/cell) = 177
- energy of formation from the pure elements (meV per atom) = 282

No. 3
First-principles (PBE) data for a relaxed Mg3AlZn crystal, as listed in the Alexandria database.

The structure in POSCAR format:
```
Mg3AlZn
1.0
5.2841 -2.3264 0.0000
5.2841 2.3264 0.0000
-0.5840 0.0000 8.2697
Mg Al Zn
6 2 2
Direct
0.0829 0.0829 0.3418
0.1412 0.1412 0.9337
0.3890 0.3890 0.3431
0.6110 0.6110 0.6569
0.8588 0.8588 0.0663
0.9171 0.9171 0.6582
0.4138 0.4138 0.8738
0.5862 0.5862 0.1262
0.2492 0.2492 0.6180
0.7508 0.7508 0.3820
```

- energy above the lowest structure with this stoichiometry (eV per formula unit) = 0.00
- crystal system = monoclinic
- theoretical density (g/cm³) = 2.7
- size of the total moment (μB/cell) = 0.0
- calculated volume (Å³/cell) = 203
- energy of formation from the pure elements (meV per atom) = 11

No. 4
First-principles (PBE) data for a relaxed YRhBr2 crystal, as listed in the Alexandria database.

The structure in POSCAR format:
```
YRhBr2
1.0
7.4362 -1.8870 0.0000
7.4362 1.8870 0.0000
-0.1815 0.0000 4.2695
Y Rh Br
1 1 2
Direct
0.0000 0.0000 0.0000
0.5000 0.5000 0.5000
0.3571 0.3571 0.7801
0.6429 0.6429 0.2199
```

- energy above the lowest structure with this stoichiometry (eV per formula unit) = 0.00
- crystal system = monoclinic
- theoretical density (g/cm³) = 4.9
- size of the total moment (μB/cell) = 0.0
- calculated volume (Å³/cell) = 120
- E_form (uncorrected) (eV per atom) = -1.0251

No. 5
First-principles (PBE) data for a relaxed HoErGeIr crystal, as listed in the Alexandria database.

The structure in POSCAR format:
```
HoErGeIr
1.0
0.0000 3.4821 3.4821
3.4821 0.0000 3.4821
3.4821 3.4821 0.0000
Ho Er Ge Ir
1 1 1 1
Direct
0.0000 0.0000 0.0000
0.5000 0.5000 0.5000
0.7500 0.7500 0.7500
0.2500 0.2500 0.2500
```

- energy above the lowest structure with this stoichiometry (eV per formula unit) = 0.63
- crystal system = cubic
- theoretical density (g/cm³) = 11.7
- size of the total moment (μB/cell) = 0.0
- calculated volume (Å³/cell) = 84
- energy of formation from the pure elements (meV per atom) = -717

No. 6
First-principles (PBE) data for a relaxed KOsRh2 crystal, as listed in the Alexandria database.

The structure in POSCAR format:
```
KOsRh2
1.0
2.7466 0.0000 0.0000
0.0000 2.7466 0.0000
0.0000 0.0000 9.3550
K Os Rh
1 1 2
Direct
0.0000 0.0000 0.0000
0.5000 0.5000 0.3080
0.0000 0.0000 0.5020
0.5000 0.5000 0.7081
```

- energy above the lowest structure with this stoichiometry (eV per formula unit) = 0.91
- crystal system = tetragonal
- theoretical density (g/cm³) = 10.2
- size of the total moment (μB/cell) = 0.0
- calculated volume (Å³/cell) = 71
- energy of formation from the pure elements (meV per atom) = 667

No. 7
First-principles (PBE) data for a relaxed Ba2CaTbTe4 crystal, as listed in the Alexandria database.

The structure in POSCAR format:
```
Ba2CaTbTe4
1.0
8.0904 0.0000 0.0000
0.0000 4.6591 0.0000
-2.6862 0.0000 7.8020
Ba Ca Tb Te
2 1 1 4
Direct
0.0000 0.0000 0.0000
0.5000 0.5000 0.0000
0.0000 0.5000 0.5000
0.5000 0.0000 0.5000
0.2445 0.0000 0.7186
0.2652 0.5000 0.2827
0.7348 0.5000 0.7173
0.7555 0.0000 0.2814
```

- crystal system = monoclinic
- theoretical density (g/cm³) = 5.6
- size of the total moment (μB/cell) = 0.0
- calculated volume (Å³/cell) = 294
- E_form (uncorrected) (eV per atom) = -1.6117

No. 8
First-principles (PBE) data for a relaxed Dy2ErPd crystal, as listed in the Alexandria database.

The structure in POSCAR format:
```
Dy2ErPd
1.0
6.9884 0.0000 0.0000
0.0000 9.6667 0.0000
0.0000 0.0000 6.4418
Dy Er Pd
8 4 4
Direct
0.1828 0.0590 0.1766
0.1828 0.4410 0.1766
0.3172 0.5590 0.6766
0.3172 0.9410 0.6766
0.6828 0.0590 0.3234
0.6828 0.4410 0.3234
0.8172 0.5590 0.8234
0.8172 0.9410 0.8234
0.0242 0.2500 0.6317
0.4758 0.7500 0.1317
0.5242 0.2500 0.8683
0.9758 0.7500 0.3683
0.1089 0.7500 0.9465
0.3911 0.2500 0.4465
0.6089 0.7500 0.5535
0.8911 0.2500 0.0535
```

- energy above the lowest structure with this stoichiometry (eV per formula unit) = 0.00
- crystal system = orthorhombic
- theoretical density (g/cm³) = 9.1
- size of the total moment (μB/cell) = 0.0
- calculated volume (Å³/cell) = 435
- energy of formation from the pure elements (meV per atom) = -478

No. 9
First-principles (PBE) data for a relaxed NaCe2H crystal, as listed in the Alexandria database.

The structure in POSCAR format:
```
NaCe2H
1.0
1.6018 0.9248 10.1874
-1.6018 0.9248 10.1874
0.0000 -1.8496 10.1874
Na Ce H
1 2 1
Direct
0.0000 0.0000 0.0000
0.1146 0.1146 0.1146
0.8854 0.8854 0.8854
0.5000 0.5000 0.5000
```

- crystal system = trigonal
- DFT total energy (eV per atom) = -4.12
- theoretical density (g/cm³) = 5.6
- size of the total moment (μB/cell) = 0.7
- calculated volume (Å³/cell) = 91

No. 10
First-principles (PBE) data for a relaxed HoTm2Pb9 crystal, as listed in the Alexandria database.

The structure in POSCAR format:
```
HoTm2Pb9
1.0
4.8652 0.0000 0.0000
0.0000 4.8652 0.0000
0.0000 0.0000 14.6106
Ho Tm Pb
1 2 9
Direct
0.0000 0.0000 0.0000
0.0000 0.0000 0.3330
0.0000 0.0000 0.6670
0.0000 0.5000 0.1674
0.0000 0.5000 0.5000
0.0000 0.5000 0.8326
0.5000 0.0000 0.1674
0.5000 0.0000 0.5000
0.5000 0.0000 0.8326
0.5000 0.5000 0.0000
0.5000 0.5000 0.3338
0.5000 0.5000 0.6662
```

- crystal system = tetragonal
- theoretical density (g/cm³) = 11.4
- size of the total moment (μB/cell) = 0.0
- calculated volume (Å³/cell) = 346
- energy of formation from the pure elements (meV per atom) = -230

No. 11
First-principles (PBE) data for a relaxed ScMoIr2 crystal, as listed in the Alexandria database.

The structure in POSCAR format:
```
ScMoIr2
1.0
4.7177 0.0000 0.0000
0.0000 4.7177 0.0000
0.0000 0.0000 2.8892
Sc Mo Ir
1 1 2
Direct
0.0000 0.0000 0.0000
0.5000 0.5000 0.0000
0.0000 0.5000 0.5000
0.5000 0.0000 0.5000
```

- energy above the lowest structure with this stoichiometry (eV per formula unit) = 0.48
- crystal system = tetragonal
- theoretical density (g/cm³) = 13.6
- size of the total moment (μB/cell) = 0.0
- calculated volume (Å³/cell) = 64
- energy of formation from the pure elements (meV per atom) = -399

No. 12
First-principles (PBE) data for a relaxed NdAlNi crystal, as listed in the Alexandria database.

The structure in POSCAR format:
```
NdAlNi
1.0
4.2638 0.0000 0.0000
0.0000 4.2739 0.0000
-0.0141 0.0000 6.9171
Nd Al Ni
2 2 2
Direct
0.2497 0.2500 0.1852
0.7503 0.7500 0.8148
0.2495 0.2500 0.6727
0.7505 0.7500 0.3273
0.2513 0.7500 0.5010
0.7487 0.2500 0.4990
```

- crystal system = monoclinic
- theoretical density (g/cm³) = 6.1
- size of the total moment (μB/cell) = 0.0
- calculated volume (Å³/cell) = 126
- energy of formation from the pure elements (meV per atom) = -474

Question: Which formula does entry 10 have?
Answer: HoTm2Pb9

Please write out number 6 again, unchanged.
First-principles (PBE) data for a relaxed KOsRh2 crystal, as listed in the Alexandria database.

The structure in POSCAR format:
```
KOsRh2
1.0
2.7466 0.0000 0.0000
0.0000 2.7466 0.0000
0.0000 0.0000 9.3550
K Os Rh
1 1 2
Direct
0.0000 0.0000 0.0000
0.5000 0.5000 0.3080
0.0000 0.0000 0.5020
0.5000 0.5000 0.7081
```

- energy above the lowest structure with this stoichiometry (eV per formula unit) = 0.91
- crystal system = tetragonal
- theoretical density (g/cm³) = 10.2
- size of the total moment (μB/cell) = 0.0
- calculated volume (Å³/cell) = 71
- energy of formation from the pure elements (meV per atom) = 667